The following is a DFT calculation (PBE) of an optimized crystal structure of NdSm2Al.

**Calculated total energy**: -4.6702 eV per atom
**Calculated volume**: 28.9 Å³ per atom
**ΔE_f**: -0.7 eV per formula unit
**Excess energy over the best structure of this formula in the dataset**: 0.00 eV/f.u.

a b c (Å): 5.365 7.050 7.050
angles (deg): 60.04 90.00 90.00
Fractional positions:
Nd1 0.000 0.234 0.766
Nd2 0.000 0.766 0.234
Sm1 0.000 0.767 0.767
Sm2 0.500 0.412 0.412
Sm3 0.500 0.413 0.944
Sm4 0.500 0.944 0.413
Al1 0.000 0.256 0.256
Al2 0.500 0.921 0.921

The following is a DFT calculation (PBE) of an optimized crystal structure of Ca3CeY3Se8.

**Calculated total energy**: -5.8385 eV per atom
**Calculated volume**: 26.9 Å³ per atom
**ΔE_f (raw)**: -28.4 eV/f.u.

a b c (Å): 8.343 8.343 8.343
angles (deg): 59.23 59.23 59.23
Fractional positions:
Ca1 0.000 0.500 0.500
Ca2 0.500 0.000 0.500
Ca3 0.500 0.500 0.000
Ce1 0.500 0.500 0.500
Y1 0.000 0.000 0.500
Y2 0.000 0.500 0.000
Y3 0.500 0.000 0.000
Se1 0.241 0.753 0.753
Se2 0.247 0.247 0.759
Se3 0.247 0.759 0.247
Se4 0.248 0.248 0.248
Se5 0.752 0.752 0.752
Se6 0.753 0.241 0.753
Se7 0.753 0.753 0.241
Se8 0.759 0.247 0.247

The following is a DFT calculation (PBE) of an optimized crystal structure of ZrSi2As.

**Calculated total energy**: -6.2063 eV per atom
**Calculated volume**: 17.3 Å³ per atom
**Excess energy over the best structure of this formula in the dataset**: 0.62 eV/f.u.
**ΔE_f (raw)**: -0.8 eV/f.u.

a b c (Å): 5.426 5.426 5.426
angles (deg): 138.53 138.53 60.09
Fractional positions:
Zr1 0.000 0.000 0.000
Si1 0.250 0.750 0.500
Si2 0.750 0.250 0.500
As1 0.500 0.500 0.000

The following is a DFT calculation (PBE) of an optimized crystal structure of TaWC2.

**Calculated total energy**: -10.9274 eV per atom
**Calculated volume**: 10.9 Å³ per atom
**ΔE_f**: -0.5 eV per formula unit
**Excess energy over the best structure of this formula in the dataset**: 0.17 eV/f.u.

a b c (Å): 3.132 3.132 4.449
angles (deg): 90.00 90.00 90.00
Fractional positions:
Ta1 0.000 0.000 0.000
W1 0.500 0.500 0.500
C1 0.000 0.000 0.500
C2 0.500 0.500 0.000

The following is a DFT calculation (PBE) of an optimized crystal structure of Cs2Tl2CdPt2.

**Calculated total energy**: -2.9935 eV per atom
**Calculated volume**: 35.1 Å³ per atom
**ΔE_f**: -1.5 eV per formula unit

a b c (Å): 7.396 7.396 9.961
angles (deg): 127.80 127.80 36.10
Fractional positions:
Cs1 0.202 0.202 0.146
Cs2 0.798 0.798 0.854
Tl1 0.455 0.455 0.705
Tl2 0.545 0.545 0.295
Cd1 0.000 0.000 0.500
Pt1 0.187 0.187 0.487
Pt2 0.813 0.813 0.513

The following is a DFT calculation (PBE) of an optimized crystal structure of HoTmPu2P4.

**Calculated total energy**: -8.8007 eV per atom
**Calculated volume**: 22.2 Å³ per atom
**ΔE_f**: -11.1 eV per formula unit

a b c (Å): 6.845 3.992 6.913
angles (deg): 90.00 109.68 90.00
Fractional positions:
Ho1 0.000 0.000 0.000
Tm1 0.000 0.500 0.500
Pu1 0.500 0.000 0.500
Pu2 0.500 0.500 0.000
P1 0.252 0.000 0.750
P2 0.253 0.500 0.252
P3 0.747 0.500 0.748
P4 0.748 0.000 0.250

The following is a DFT calculation (PBE) of an optimized crystal structure of Cs3B12H12Br.

**Calculated total energy**: -4.9580 eV per atom
**Calculated volume**: 13.9 Å³ per atom

a b c (Å): 7.303 7.303 7.303
angles (deg): 92.85 92.85 92.85
Fractional positions:
Cs1 0.000 0.500 0.500
Cs2 0.500 0.000 0.500
Cs3 0.500 0.500 0.000
B1 0.056 0.056 0.224
B2 0.056 0.224 0.056
B3 0.117 0.117 0.845
B4 0.117 0.845 0.117
B5 0.155 0.883 0.883
B6 0.224 0.056 0.056
B7 0.776 0.944 0.944
B8 0.845 0.117 0.117
B9 0.883 0.155 0.883
B10 0.883 0.883 0.155
B11 0.944 0.776 0.944
B12 0.944 0.944 0.776
H1 0.095 0.095 0.384
H2 0.095 0.384 0.095
H3 0.202 0.201 0.736
H4 0.202 0.736 0.202
H5 0.264 0.799 0.798
H6 0.384 0.095 0.095
H7 0.616 0.905 0.905
H8 0.736 0.201 0.201
H9 0.799 0.264 0.799
H10 0.799 0.799 0.264
H11 0.905 0.616 0.905
H12 0.905 0.905 0.616
Br1 0.500 0.500 0.500

The following is a DFT calculation (PBE) of an optimized crystal structure of Ac2CuPb.

**Calculated total energy**: -4.0168 eV per atom
**Calculated volume**: 34.5 Å³ per atom
**ΔE_f**: 0.0 eV per formula unit

a b c (Å): 6.559 6.559 9.814
angles (deg): 111.98 111.98 45.64
Fractional positions:
Ac1 0.169 0.169 0.085
Ac2 0.169 0.169 0.585
Ac3 0.831 0.831 0.415
Ac4 0.831 0.831 0.915
Cu1 0.002 0.998 0.750
Cu2 0.998 0.002 0.250
Pb1 0.498 0.502 0.250
Pb2 0.502 0.498 0.750

The following is a DFT calculation (PBE) of an optimized crystal structure of PrYZnBi.

**Calculated total energy**: -4.5389 eV per atom
**Calculated volume**: 27.7 Å³ per atom
**ΔE_f**: -1.8 eV per formula unit

a b c (Å): 5.388 5.388 5.388
angles (deg): 60.00 60.00 60.00
Fractional positions:
Pr1 0.000 0.000 0.000
Y1 0.500 0.500 0.500
Zn1 0.750 0.750 0.750
Bi1 0.250 0.250 0.250

The following is a DFT calculation (PBE) of an optimized crystal structure of Ce2MgGa3Au4.

**Calculated total energy**: -4.1498 eV per atom
**Calculated volume**: 21.2 Å³ per atom
**ΔE_f**: -5.8 eV per formula unit

a b c (Å): 4.435 4.435 10.787
angles (deg): 90.00 90.00 90.00
Fractional positions:
Ce1 0.000 0.500 0.239
Ce2 0.500 0.000 0.761
Mg1 0.000 0.000 0.500
Ga1 0.000 0.500 0.869
Ga2 0.500 0.000 0.131
Ga3 0.500 0.500 0.500
Au1 0.000 0.000 0.000
Au2 0.000 0.500 0.637
Au3 0.500 0.000 0.363
Au4 0.500 0.500 0.000

The following is a DFT calculation (PBE) of an optimized crystal structure of Sc2TaCu.

**Calculated total energy**: -7.0126 eV per atom
**Calculated volume**: 19.3 Å³ per atom
**ΔE_f**: 0.6 eV per formula unit
**Excess energy over the best structure of this formula in the dataset**: 0.75 eV/f.u.

a b c (Å): 9.541 9.541 9.541
angles (deg): 18.58 18.58 18.58
Fractional positions:
Sc1 0.246 0.246 0.246
Sc2 0.754 0.754 0.754
Ta1 0.000 0.000 0.000
Cu1 0.500 0.500 0.500

The following is a DFT calculation (PBE) of an optimized crystal structure of Ga6NiIr3.

**Calculated total energy**: -5.3121 eV per atom
**Calculated volume**: 16.2 Å³ per atom
**ΔE_f**: -2.6 eV per formula unit

a b c (Å): 6.387 6.422 9.995
angles (deg): 90.00 127.78 90.00
Fractional positions:
Ga1 0.047 0.029 0.263
Ga2 0.047 0.471 0.763
Ga3 0.222 0.649 0.070
Ga4 0.222 0.851 0.570
Ga5 0.419 0.154 0.065
Ga6 0.419 0.346 0.565
Ga7 0.581 0.654 0.435
Ga8 0.581 0.846 0.935
Ga9 0.778 0.149 0.430
Ga10 0.778 0.351 0.930
Ga11 0.953 0.529 0.237
Ga12 0.953 0.971 0.737
Ni1 0.500 0.000 0.500
Ni2 0.500 0.500 0.000
Ir1 0.000 0.000 0.000
Ir2 0.000 0.500 0.500
Ir3 0.303 0.172 0.759
Ir4 0.303 0.328 0.259
Ir5 0.697 0.672 0.741
Ir6 0.697 0.828 0.241

The following is a DFT calculation (PBE) of an optimized crystal structure of Pr4GeTe2P.

**Calculated total energy**: -5.8286 eV per atom
**Calculated volume**: 30.3 Å³ per atom
**ΔE_f (raw)**: -11.2 eV/f.u.

a b c (Å): 7.555 4.365 7.781
angles (deg): 90.00 108.87 90.00
Fractional positions:
Pr1 0.237 0.000 0.219
Pr2 0.257 0.500 0.777
Pr3 0.743 0.500 0.223
Pr4 0.763 0.000 0.781
Ge1 0.500 0.000 0.000
Te1 0.000 0.000 0.500
Te2 0.500 0.500 0.500
P1 0.000 0.500 0.000

The following is a DFT calculation (PBE) of an optimized crystal structure of CrPSe3.

**Calculated total energy**: -5.3411 eV per atom
**Calculated volume**: 27.4 Å³ per atom
**Excess energy over the best structure of this formula in the dataset**: 0.12 eV/f.u.
**ΔE_f (raw)**: -1.2 eV/f.u.

a b c (Å): 14.406 3.556 10.709
angles (deg): 90.00 90.00 90.00
Fractional positions:
Cr1 0.061 0.250 0.116
Cr2 0.439 0.750 0.616
Cr3 0.561 0.250 0.384
Cr4 0.939 0.750 0.884
P1 0.187 0.750 0.339
P2 0.313 0.250 0.839
P3 0.687 0.750 0.161
P4 0.813 0.250 0.661
Se1 0.059 0.250 0.884
Se2 0.076 0.250 0.364
Se3 0.193 0.750 0.127
Se4 0.307 0.250 0.627
Se5 0.424 0.750 0.864
Se6 0.441 0.750 0.384
Se7 0.559 0.250 0.616
Se8 0.576 0.250 0.136
Se9 0.693 0.750 0.373
Se10 0.807 0.250 0.873
Se11 0.924 0.750 0.636
Se12 0.941 0.750 0.116

The following is a DFT calculation (PBE) of an optimized crystal structure of Mn2CoAs.

**Calculated total energy**: -7.5417 eV per atom
**Calculated volume**: 12.3 Å³ per atom
**ΔE_f**: -0.1 eV per formula unit

a b c (Å): 4.454 4.454 4.454
angles (deg): 131.15 131.15 71.58
Fractional positions:
Mn1 0.250 0.750 0.500
Mn2 0.750 0.250 0.500
Co1 0.000 0.000 0.000
As1 0.500 0.500 0.000

The following is a DFT calculation (PBE) of an optimized crystal structure of AlSb2P.

**Calculated total energy**: -4.2111 eV per atom
**Calculated volume**: 22.7 Å³ per atom
**Excess energy over the best structure of this formula in the dataset**: 0.66 eV/f.u.
**ΔE_f (raw)**: 0.6 eV/f.u.

a b c (Å): 7.716 7.716 7.716
angles (deg): 153.73 153.48 37.67
Fractional positions:
Al1 0.000 0.000 0.000
Sb1 0.177 0.677 0.500
Sb2 0.823 0.323 0.500
P1 0.500 0.500 0.000

The following is a DFT calculation (PBE) of an optimized crystal structure of Li3Ag5F12.

**Calculated total energy**: -3.5924 eV per atom
**Calculated volume**: 14.6 Å³ per atom
**ΔE_f (raw)**: -29.4 eV/f.u.

a b c (Å): 11.481 11.481 11.481
angles (deg): 109.47 109.47 109.47
Fractional positions:
Li1 0.125 0.250 0.375
Li2 0.125 0.375 0.750
Li3 0.250 0.375 0.125
Li4 0.250 0.875 0.625
Li5 0.375 0.125 0.250
Li6 0.375 0.750 0.125
Li7 0.625 0.250 0.875
Li8 0.625 0.875 0.750
Li9 0.750 0.125 0.375
Li10 0.750 0.625 0.875
Li11 0.875 0.625 0.250
Li12 0.875 0.750 0.625
Ag1 0.000 0.000 0.000
Ag2 0.000 0.000 0.500
Ag3 0.000 0.500 0.000
Ag4 0.000 0.500 0.500
Ag5 0.125 0.750 0.875
Ag6 0.125 0.875 0.250
Ag7 0.250 0.125 0.875
Ag8 0.250 0.625 0.375
Ag9 0.375 0.250 0.625
Ag10 0.375 0.625 0.750
Ag11 0.500 0.000 0.000
Ag12 0.500 0.000 0.500
Ag13 0.500 0.500 0.000
Ag14 0.500 0.500 0.500
Ag15 0.625 0.375 0.250
Ag16 0.625 0.750 0.375
Ag17 0.750 0.375 0.625
Ag18 0.750 0.875 0.125
Ag19 0.875 0.125 0.750
Ag20 0.875 0.250 0.125
F1 0.055 0.221 0.117
F2 0.055 0.334 0.938
F3 0.062 0.617 0.396
F4 0.062 0.945 0.666
F5 0.104 0.721 0.666
F6 0.104 0.883 0.438
F7 0.117 0.055 0.221
F8 0.117 0.562 0.896
F9 0.166 0.221 0.604
F10 0.166 0.445 0.562
F11 0.221 0.117 0.055
F12 0.221 0.604 0.166
F13 0.279 0.334 0.896
F14 0.279 0.445 0.383
F15 0.334 0.896 0.279
F16 0.334 0.938 0.055
F17 0.383 0.279 0.445
F18 0.383 0.604 0.938
F19 0.396 0.062 0.617
F20 0.396 0.834 0.779
F21 0.438 0.104 0.883
F22 0.438 0.834 0.555
F23 0.445 0.383 0.279
F24 0.445 0.562 0.166
F25 0.555 0.438 0.834
F26 0.555 0.617 0.721
F27 0.562 0.166 0.445
F28 0.562 0.896 0.117
F29 0.604 0.166 0.221
F30 0.604 0.938 0.383
F31 0.617 0.396 0.062
F32 0.617 0.721 0.555
F33 0.666 0.062 0.945
F34 0.666 0.104 0.721
F35 0.721 0.555 0.617
F36 0.721 0.666 0.104
F37 0.779 0.396 0.834
F38 0.779 0.883 0.945
F39 0.834 0.555 0.438
F40 0.834 0.779 0.396
F41 0.883 0.438 0.104
F42 0.883 0.945 0.779
F43 0.896 0.117 0.562
F44 0.896 0.279 0.334
F45 0.938 0.055 0.334
F46 0.938 0.383 0.604
F47 0.945 0.666 0.062
F48 0.945 0.779 0.883

The following is a DFT calculation (PBE) of an optimized crystal structure of SrScSb2.

**Calculated total energy**: -4.7306 eV per atom
**Calculated volume**: 29.3 Å³ per atom
**Excess energy over the best structure of this formula in the dataset**: 0.75 eV/f.u.
**ΔE_f (raw)**: -2.7 eV/f.u.

a b c (Å): 6.264 6.264 4.671
angles (deg): 97.33 97.33 40.21
Fractional positions:
Sr1 0.000 0.000 0.000
Sc1 0.253 0.253 0.507
Sb1 0.516 0.516 0.510
Sb2 0.732 0.732 0.999

The following is a DFT calculation (PBE) of an optimized crystal structure of DyInAu4.

**Calculated total energy**: -3.8425 eV per atom
**Calculated volume**: 20.8 Å³ per atom
**ΔE_f**: -2.6 eV per formula unit
**Excess energy over the best structure of this formula in the dataset**: 0.52 eV/f.u.

a b c (Å): 5.609 5.609 5.609
angles (deg): 60.00 60.00 60.00
Fractional positions:
Dy1 0.000 0.000 0.000
In1 0.250 0.250 0.250
Au1 0.125 0.625 0.625
Au2 0.625 0.125 0.625
Au3 0.625 0.625 0.125
Au4 0.625 0.625 0.625

The following is a DFT calculation (PBE) of an optimized crystal structure of AlCuOs2.

**Calculated total energy**: -7.5039 eV per atom
**Calculated volume**: 13.9 Å³ per atom
**ΔE_f**: 0.3 eV per formula unit

a b c (Å): 8.621 8.621 8.621
angles (deg): 18.35 18.35 18.35
Fractional positions:
Al1 0.000 0.000 0.000
Cu1 0.500 0.500 0.500
Os1 0.251 0.251 0.251
Os2 0.749 0.749 0.749